(one)
Li3GaAu: optimized geometry, PBE.

Summary:
Spin magnetization = 0.0 μB per formula unit

Cell: 4.148 5.967 6.362 Å, 87.45 90.00 90.00°
Sites, in units of the cell vectors:
Li: 0.624 0.807 0.584
Li: 0.624 0.997 0.151
Li: 0.124 0.504 0.671
Li: 0.124 0.291 0.063
Li: 0.124 0.101 0.496
Li: 0.624 0.595 0.976
Ga: 0.624 0.409 0.372
Ga: 0.124 0.690 0.275
Au: 0.624 0.216 0.757
Au: 0.124 0.882 0.890

---

(two)
Li3GaAu: optimized geometry, PBE.

Summary:
Spin magnetization = 0.0 μB per formula unit

Cell: 4.695 5.150 7.189 Å, 90.00 96.67 90.00°
Sites, in units of the cell vectors:
Li: 0.842 0.993 0.822
Li: 0.158 0.007 0.178
Li: 0.842 0.507 0.822
Li: 0.158 0.493 0.178
Li: 0.249 0.750 0.529
Li: 0.751 0.250 0.471
Ga: 0.680 0.750 0.249
Ga: 0.320 0.250 0.751
Au: 0.353 0.750 0.893
Au: 0.647 0.250 0.107

---

Name the most stable of them. (one).

---

(one)
Li8GaAu2: optimized geometry, PBE.

Summary:
Spin magnetization = 0.0 μB per formula unit

Cell: 4.472 7.361 7.008 Å, 121.68 108.61 90.00°
Sites, in units of the cell vectors:
Li: 0.650 0.850 0.301
Li: 0.350 0.549 0.699
Li: 0.137 0.137 0.273
Li: 0.000 0.318 0.000
Li: 0.863 0.863 0.727
Li: 0.650 0.451 0.301
Li: 0.350 0.150 0.699
Li: 0.000 0.682 0.000
Ga: 0.500 0.000 0.000
Au: 0.217 0.717 0.435
Au: 0.783 0.283 0.565

---

(two)
Li8GaAu2: optimized geometry, PBE.

Summary:
Spin magnetization = 0.0 μB per formula unit

Cell: 4.366 8.063 6.783 Å, 53.53 89.94 89.90°
Sites, in units of the cell vectors:
Li: 0.999 0.033 0.266
Li: 0.999 0.299 0.734
Li: 0.499 0.333 0.000
Li: 0.500 0.753 0.494
Li: 0.500 0.247 0.506
Li: 0.501 0.667 0.000
Li: 0.001 0.701 0.266
Li: 0.001 0.967 0.734
Ga: 0.500 0.000 0.000
Au: 0.000 0.373 0.255
Au: 0.000 0.627 0.745

---

Name the most stable of them. (one).

---

(one)
Li8Ga2Au: optimized geometry, PBE.

Summary:
Spin magnetization = 0.0 μB per formula unit

Cell: 4.352 6.528 7.592 Å, 115.46 106.66 90.00°
Sites, in units of the cell vectors:
Li: 0.650 0.873 0.300
Li: 0.350 0.573 0.700
Li: 0.159 0.159 0.318
Li: 0.000 0.290 0.000
Li: 0.841 0.841 0.682
Li: 0.650 0.427 0.300
Li: 0.350 0.127 0.700
Li: 0.000 0.710 0.000
Ga: 0.195 0.695 0.391
Ga: 0.805 0.305 0.609
Au: 0.500 0.000 0.000

---

(two)
Li8Ga2Au: optimized geometry, PBE.

Summary:
Spin magnetization = 0.0 μB per formula unit

Cell: 4.069 5.963 7.641 Å, 99.15 105.44 90.00°
Sites, in units of the cell vectors:
Li: 0.404 0.557 0.808
Li: 0.680 0.905 0.361
Li: 0.863 0.817 0.725
Li: 0.954 0.261 0.908
Li: 0.137 0.183 0.275
Li: 0.320 0.095 0.639
Li: 0.596 0.443 0.192
Li: 0.046 0.739 0.092
Ga: 0.776 0.373 0.551
Ga: 0.224 0.627 0.449
Au: 0.500 0.000 0.000

---

Name the most stable of them. (two).

---

(one)
LiGa3Au6: optimized geometry, PBE.

Summary:
Spin magnetization = 0.0 μB per formula unit

Cell: 6.739 7.797 7.797 Å, 113.62 90.00 90.00°
Sites, in units of the cell vectors:
Li: 0.998 0.178 0.822
Li: 0.498 0.822 0.178
Ga: 0.504 0.883 0.697
Ga: 0.004 0.697 0.883
Ga: 0.303 0.434 0.566
Ga: 0.803 0.566 0.434
Ga: 0.004 0.117 0.303
Ga: 0.504 0.303 0.117
Au: 0.140 0.759 0.596
Au: 0.640 0.596 0.759
Au: 0.273 0.462 0.914
Au: 0.773 0.914 0.462
Au: 0.225 0.011 0.989
Au: 0.623 0.229 0.771
Au: 0.123 0.771 0.229
Au: 0.725 0.989 0.011
Au: 0.273 0.086 0.538
Au: 0.773 0.538 0.086
Au: 0.140 0.404 0.241
Au: 0.640 0.241 0.404

---

(two)
LiGa3Au6: optimized geometry, PBE.

Summary:
Spin magnetization = 0.0 μB per formula unit

Cell: 4.292 10.174 9.264 Å, 114.42 90.00 90.00°
Sites, in units of the cell vectors:
Li: 0.250 0.319 0.974
Li: 0.750 0.681 0.026
Ga: 0.250 0.135 0.630
Ga: 0.750 0.865 0.370
Ga: 0.250 0.463 0.320
Ga: 0.750 0.537 0.680
Ga: 0.250 0.004 0.852
Ga: 0.750 0.996 0.148
Au: 0.250 0.365 0.538
Au: 0.750 0.635 0.462
Au: 0.250 0.843 0.021
Au: 0.750 0.157 0.979
Au: 0.250 0.854 0.549
Au: 0.750 0.146 0.451
Au: 0.250 0.681 0.212
Au: 0.750 0.319 0.788
Au: 0.250 0.536 0.868
Au: 0.750 0.464 0.132
Au: 0.250 0.178 0.207
Au: 0.750 0.822 0.793

---

Name the most stable of them. (two).

---

(one)
LiSmGaAu: optimized geometry, PBE.

Summary:
Spin magnetization = 0.0 μB per formula unit

Cell: 4.793 4.793 4.793 Å, 60.00 60.00 60.00°
Sites, in units of the cell vectors:
Li: 0.500 0.500 0.500
Sm: 0.250 0.250 0.250
Ga: 0.750 0.750 0.750
Au: 0.000 0.000 0.000

---

(two)
LiSmGaAu: optimized geometry, PBE.

Summary:
Spin magnetization = 0.0 μB per formula unit

Cell: 4.905 4.905 4.905 Å, 60.00 60.00 60.00°
Sites, in units of the cell vectors:
Au: 0.750 0.750 0.750
Ga: 0.250 0.250 0.250
Sm: 0.000 0.000 0.000
Li: 0.500 0.500 0.500

---

Name the most stable of them. (one).

---

(one)
MgGaAu3: optimized geometry, PBE.

Summary:
Spin magnetization = 0.0 μB per formula unit

Cell: 4.864 4.864 4.864 Å, 90.00 90.00 90.00°
Sites, in units of the cell vectors:
Mg: 0.500 0.500 0.500
Au: 0.000 0.500 0.000
Au: 0.000 0.000 0.500
Au: 0.500 0.000 0.000
Ga: 0.000 0.000 0.000

---

(two)
MgGaAu3: optimized geometry, PBE.

Summary:
Spin magnetization = 0.0 μB per formula unit

Cell: 4.552 5.720 7.273 Å, 90.00 90.00 90.00°
Sites, in units of the cell vectors:
Mg: 0.500 0.000 0.141
Mg: 0.000 0.500 0.859
Ga: 0.000 0.000 0.570
Ga: 0.500 0.500 0.430
Au: 0.000 0.745 0.274
Au: 0.500 0.755 0.726
Au: 0.500 0.245 0.726
Au: 0.000 0.255 0.274
Au: 0.000 0.000 0.923
Au: 0.500 0.500 0.077

---

Name the most stable of them. (two).

---

(one)
MgGaAu3: optimized geometry, PBE.

Summary:
Spin magnetization = 0.0 μB per formula unit

Cell: 4.613 6.757 6.425 Å, 90.00 73.94 90.00°
Sites, in units of the cell vectors:
Mg: 0.658 0.750 0.246
Mg: 0.342 0.250 0.754
Ga: 0.418 0.750 0.772
Ga: 0.582 0.250 0.228
Au: 0.196 0.981 0.135
Au: 0.804 0.019 0.865
Au: 0.196 0.519 0.135
Au: 0.804 0.481 0.865
Au: 0.067 0.750 0.521
Au: 0.933 0.250 0.479

---

(two)
MgGaAu3: optimized geometry, PBE.

Summary:
Spin magnetization = 0.0 μB per formula unit

Cell: 5.034 5.034 5.034 Å, 90.00 90.00 90.00°
Sites, in units of the cell vectors:
Mg: 0.000 0.000 0.000
Au: 0.000 0.500 0.000
Au: 0.000 0.000 0.500
Au: 0.500 0.000 0.000
Ga: 0.500 0.500 0.500

---

Name the most stable of them. (one).

---

(one)
Mg2Ga2Au: optimized geometry, PBE.

Summary:
Spin magnetization = 0.0 μB per formula unit

Cell: 7.071 7.071 4.110 Å, 90.00 90.00 90.00°
Sites, in units of the cell vectors:
Mg: 0.346 0.846 0.000
Mg: 0.846 0.654 0.000
Mg: 0.654 0.154 0.000
Mg: 0.154 0.346 0.000
Au: 0.000 0.000 0.000
Au: 0.500 0.500 0.000
Ga: 0.148 0.648 0.500
Ga: 0.648 0.852 0.500
Ga: 0.852 0.352 0.500
Ga: 0.352 0.148 0.500

---

(two)
Mg2Ga2Au: optimized geometry, PBE.

Summary:
Spin magnetization = 0.0 μB per formula unit

Cell: 4.065 5.329 10.047 Å, 80.84 78.33 67.58°
Sites, in units of the cell vectors:
Mg: 0.317 0.253 0.112
Mg: 0.485 0.336 0.694
Mg: 0.683 0.747 0.888
Mg: 0.515 0.664 0.306
Ga: 0.955 0.188 0.901
Ga: 0.143 0.261 0.453
Ga: 0.045 0.812 0.099
Ga: 0.857 0.739 0.547
Au: 0.797 0.091 0.316
Au: 0.203 0.909 0.684

---

(three)
Mg2Ga2Au: optimized geometry, PBE.

Summary:
Spin magnetization = 0.0 μB per formula unit

Cell: 6.757 6.757 4.154 Å, 90.00 90.00 90.00°
Sites, in units of the cell vectors:
Mg: 0.170 0.670 0.500
Mg: 0.670 0.830 0.500
Mg: 0.830 0.330 0.500
Mg: 0.330 0.170 0.500
Au: 0.000 0.000 0.000
Au: 0.500 0.500 0.000
Ga: 0.367 0.867 0.000
Ga: 0.867 0.633 0.000
Ga: 0.633 0.133 0.000
Ga: 0.133 0.367 0.000

---

Name the most stable of them. (two).

---

(one)
MgGa3Au: optimized geometry, PBE.

Summary:
Spin magnetization = 0.0 μB per formula unit

Cell: 6.417 5.444 5.409 Å, 90.00 90.00 97.90°
Sites, in units of the cell vectors:
Mg: 0.893 0.350 0.052
Mg: 0.668 0.615 0.552
Ga: 0.197 0.432 0.552
Ga: 0.364 0.533 0.052
Ga: 0.466 0.111 0.807
Ga: 0.466 0.111 0.298
Ga: 0.095 0.855 0.307
Ga: 0.095 0.855 0.798
Au: 0.827 0.154 0.552
Au: 0.733 0.812 0.052

---

(two)
MgGa3Au: optimized geometry, PBE.

Summary:
Spin magnetization = 0.0 μB per formula unit

Cell: 5.048 5.048 5.048 Å, 90.00 90.00 90.00°
Sites, in units of the cell vectors:
Mg: 0.500 0.500 0.500
Au: 0.000 0.000 0.000
Ga: 0.000 0.500 0.000
Ga: 0.000 0.000 0.500
Ga: 0.500 0.000 0.000

---

(three)
MgGa3Au: optimized geometry, PBE.

Summary:
Spin magnetization = 0.0 μB per formula unit

Cell: 5.558 5.447 6.859 Å, 90.00 112.79 90.00°
Sites, in units of the cell vectors:
Mg: 0.736 0.948 0.900
Mg: 0.299 0.448 0.660
Ga: 0.895 0.448 0.204
Ga: 0.139 0.948 0.357
Ga: 0.719 0.186 0.462
Ga: 0.719 0.709 0.462
Ga: 0.315 0.686 0.098
Ga: 0.315 0.209 0.098
Au: 0.834 0.448 0.809
Au: 0.200 0.948 0.752

---

Name the most stable of them. (one).

---

(one)
Mg8GaAu2: optimized geometry, PBE.

Summary:
Spin magnetization = 0.0 μB per formula unit

Cell: 4.627 6.810 8.118 Å, 114.80 106.56 90.00°
Sites, in units of the cell vectors:
Mg: 0.655 0.883 0.310
Mg: 0.345 0.574 0.690
Mg: 0.167 0.167 0.333
Mg: 0.000 0.285 0.000
Mg: 0.833 0.833 0.667
Mg: 0.655 0.426 0.310
Mg: 0.345 0.117 0.690
Mg: 0.000 0.715 0.000
Ga: 0.500 0.000 0.000
Au: 0.182 0.682 0.363
Au: 0.818 0.318 0.637

---

(two)
Mg8GaAu2: optimized geometry, PBE.

Summary:
Spin magnetization = 0.0 μB per formula unit

Cell: 4.597 6.669 8.289 Å, 112.27 106.10 90.00°
Sites, in units of the cell vectors:
Mg: 0.398 0.552 0.795
Mg: 0.670 0.940 0.339
Mg: 0.807 0.720 0.614
Mg: 0.977 0.230 0.954
Mg: 0.193 0.280 0.386
Mg: 0.330 0.060 0.661
Mg: 0.602 0.448 0.205
Mg: 0.023 0.770 0.046
Ga: 0.500 0.000 0.000
Au: 0.822 0.322 0.645
Au: 0.178 0.678 0.355

---

Name the most stable of them. (two).